(1)
Nd2ScIn9 after structural relaxation, computed with PBE.

Properties
Theoretical density in Mg/m³: 7.50
DFT formation energy in eV per atom: -0.41
Calculated total energy in eV/atom: -3.789
Symmetry: P4/mmm

Cell and atoms, written as POSCAR:
```
Nd2ScIn9
1.0
4.664 0.000 0.000
0.000 4.664 0.000
0.000 0.000 13.922
Nd Sc In
2 1 9
Direct
0.000 0.000 0.329
0.000 0.000 0.671
0.000 0.000 0.000
0.500 0.500 0.000
0.500 0.500 0.331
0.500 0.500 0.669
0.500 0.000 0.158
0.500 0.000 0.500
0.500 0.000 0.842
0.000 0.500 0.158
0.000 0.500 0.500
0.000 0.500 0.842
```

***

(2)
NdSc2In2 after structural relaxation, computed with PBE.

Properties
Theoretical density in Mg/m³: 5.63
DFT formation energy in eV per atom: -0.23
Calculated total energy in eV/atom: -4.809
E above lowest polymorph in meV/atom: 0
Symmetry: I4/mmm

Cell and atoms, written as POSCAR:
```
NdSc2In2
1.0
-3.070 -0.145 -3.307
-2.905 -2.044 2.787
-1.730 13.057 4.115
Nd Sc In
2 4 4
Direct
0.627 0.627 0.254
0.373 0.373 0.746
0.750 0.250 0.500
0.929 0.929 0.858
0.071 0.071 0.142
0.250 0.750 0.500
0.000 0.500 0.000
0.176 0.176 0.352
0.500 0.000 0.000
0.824 0.824 0.648
```

***

(3)
Nd12ScIn6 after structural relaxation, computed with PBE.

Properties
Theoretical density in Mg/m³: 7.06
DFT formation energy in eV per atom: -0.24
Calculated total energy in eV/atom: -4.452
Symmetry: R-3

Cell and atoms, written as POSCAR:
```
Nd12ScIn6
1.0
0.605 2.053 8.060
8.021 -2.279 0.138
2.392 7.737 -1.992
Nd Sc In
12 1 6
Direct
0.809 0.525 0.438
0.438 0.809 0.525
0.525 0.438 0.809
0.191 0.475 0.562
0.562 0.191 0.475
0.475 0.562 0.191
0.070 0.124 0.380
0.876 0.620 0.930
0.620 0.930 0.876
0.930 0.876 0.620
0.124 0.380 0.070
0.380 0.070 0.124
0.000 0.000 0.000
0.737 0.880 0.252
0.748 0.263 0.120
0.120 0.748 0.263
0.263 0.120 0.748
0.252 0.737 0.880
0.880 0.252 0.737
```